# 1
Entry from Alexandria via LeMat-Bulk: crystalline Tl3Pb2Br8 at its relaxed geometry (PBE-GGA).

The structure in POSCAR format:
```
Tl3Pb2Br8
1.0
7.9249 -4.5484 0.0000
7.9249 4.5484 0.0000
-2.6198 0.0000 7.7053
Tl Pb Br
3 2 8
direct
0.0000 0.0000 0.0000
0.2602 0.7398 0.5000
0.7398 0.2602 0.5000
0.2507 0.2507 0.5141
0.7493 0.7493 0.4859
0.0980 0.6264 0.7211
0.1152 0.1152 0.7224
0.3639 0.3639 0.2845
0.3736 0.9020 0.2789
0.6264 0.0980 0.7211
0.6361 0.6361 0.7155
0.8848 0.8848 0.2776
0.9020 0.3736 0.2789
```

Calculated volume in A^3/atom: 42.7
Space-group type: C2/m
Crystal system: monoclinic
Size of the total moment in μB/atom: 0.0000
Energy in eV per cell: -38.062
Mass density in Mg/m³: 5.0
D(E_F) in states/eV/f.u.: 11.306

# 2
Entry from Alexandria via LeMat-Bulk: crystalline TlPbBr at its relaxed geometry (PBE-GGA).

The structure in POSCAR format:
```
TlPbBr
1.0
3.9973 0.0000 0.0000
0.0005 3.9976 0.0000
1.9757 1.9475 13.1636
Tl Pb Br
2 2 2
direct
0.0000 0.0000 0.0000
0.1525 0.1473 0.6905
0.3155 0.3077 0.3615
0.7519 0.7445 0.4893
0.4350 0.4353 0.1314
0.5867 0.5828 0.8242
```

Calculated volume in A^3/atom: 35.1
Space-group type: P1
Crystal system: triclinic
Size of the total moment in μB/atom: 0.0000
Polymorph energy (0 for the lowest one) in eV per atom: 0.000
Energy in eV per cell: -17.996
Mass density in Mg/m³: 7.8
D(E_F) in states/eV/f.u.: 1.007

Which of these has the lowest energy? Tl3Pb2Br8